[1]
A geometry-optimized Ce2PmTh structure. Source: Alexandria, functional PBE-GGA.

Structure (POSCAR):
```
Ce2PmTh
1.0
-0.168 -2.003 2.805
1.679 -3.014 0.071
10.264 3.871 5.500
Ce Th Pm
2 1 1
direct
0.089 0.089 0.733
0.911 0.911 0.267
0.500 0.500 0.500
0.000 0.000 0.000
```

## Properties
electronic total energy = -5.81 eV per atom
formation energy from the elements = 0.197 eV/atom
space-group type = R-3m

---

[2]
A geometry-optimized K2SrWS4 structure. Source: Alexandria, functional PBE-GGA.

Structure (POSCAR):
```
K2SrWS4
1.0
-1.089 -2.491 -6.490
6.651 -0.219 2.287
-2.889 -3.717 5.230
K Sr W S
2 1 1 4
direct
0.500 0.750 0.250
0.000 0.000 0.000
0.500 0.250 0.750
0.000 0.500 0.500
0.619 0.419 0.441
0.022 0.200 0.581
0.978 0.559 0.178
0.381 0.822 0.800
```

## Properties
electronic total energy = -5.15 eV per atom
space-group type = I-4
formation energy from raw total energies = -0.99 eV/atom

---

[3]
A geometry-optimized PrLuMgPd structure. Source: Alexandria, functional PBE-GGA.

Structure (POSCAR):
```
PrLuMgPd
1.0
5.187 0.000 0.000
2.594 4.492 0.000
2.594 1.497 4.235
Pr Mg Lu Pd
1 1 1 1
direct
0.250 0.250 0.250
0.000 0.000 0.000
0.750 0.750 0.750
0.500 0.500 0.500
```

## Properties
electronic total energy = -4.38 eV per atom
formation energy from the elements = -0.361 eV/atom
space-group type = F-43m

---

[4]
A geometry-optimized ZrOsRu structure. Source: Alexandria, functional PBE-GGA.

Structure (POSCAR):
```
ZrOsRu
1.0
-4.162 0.973 1.366
2.428 -3.060 2.208
1.029 2.034 1.688
Os Ru Zr
1 1 1
direct
0.000 0.000 0.971
0.333 0.667 0.365
0.667 0.333 0.664
```

## Properties
electronic total energy = -9.56 eV per atom
formation energy from the elements = 0.120 eV/atom
space-group type = P3m1

---

Number 1 is which compound? Ce2PmTh